{"formula": "Sr2NbCuRh", "functional": "PBE", "state": "optimized geometry", "lattice_angstrom": [[6.1188, 0.0000, 0.0000], [0.0000, 6.1188, 0.0000], [0.0000, 0.0000, 4.6156]], "species": ["Sr", "Sr", "Nb", "Cu", "Rh"], "frac_coords": [[0.0000, 0.5000, 0.0000], [0.5000, 0.0000, 0.0000], [0.0000, 0.0000, 0.0000], [0.5000, 0.5000, 0.5000], [0.0000, 0.0000, 0.5000]], "energy_ev_per_atom": -4.07, "formation_energy_ev_per_fu": 4.53, "dos_at_fermi_per_ev_cell": 6.19, "space_group": "No. 123"}

{"formula": "HoNpU2S4", "functional": "PBE", "state": "optimized geometry", "lattice_angstrom": [[6.5942, 0.0000, 0.0000], [0.0000, 3.7992, 0.0000], [-2.1908, 0.0000, 6.5672]], "species": ["Ho", "Np", "U", "U", "S", "S", "S", "S"], "frac_coords": [[0.0000, 0.0000, 0.0000], [0.5000, 0.5000, 0.0000], [0.0000, 0.5000, 0.5000], [0.5000, 0.0000, 0.5000], [0.2470, 0.5000, 0.2476], [0.2490, 0.0000, 0.7520], [0.7510, 0.0000, 0.2480], [0.7530, 0.5000, 0.7524]], "energy_ev_per_atom": -8.59, "dos_at_fermi_per_ev_cell": 15.28, "space_group": "No. 10", "formation_energy_uncorrected_ev_per_atom": -1.52}

{"formula": "La2Tb3PrNd6", "functional": "PBE", "state": "optimized geometry", "lattice_angstrom": [[3.1788, -5.5095, 0.0000], [3.1788, 5.5095, 0.0000], [-2.1311, 0.0000, 11.9611]], "species": ["La", "La", "Tb", "Tb", "Tb", "Pr", "Nd", "Nd", "Nd", "Nd", "Nd", "Nd"], "frac_coords": [[0.1665, 0.8335, 0.0000], [0.8335, 0.1665, 0.0000], [0.0000, 0.0000, 0.5000], [0.3335, 0.6665, 0.5000], [0.6665, 0.3335, 0.5000], [0.5000, 0.5000, 0.0000], [0.0812, 0.4144, 0.7447], [0.2524, 0.2524, 0.2554], [0.4144, 0.0812, 0.7447], [0.5856, 0.9188, 0.2553], [0.7476, 0.7476, 0.7446], [0.9188, 0.5856, 0.2553]], "energy_ev_per_atom": -4.74, "formation_energy_ev_per_fu": 0.21, "dos_at_fermi_per_ev_cell": 19.55, "space_group": "No. 12"}

{"formula": "Er6Ge2Sb3Te", "functional": "PBE", "state": "optimized geometry", "lattice_angstrom": [[9.3401, -2.1260, 0.0000], [9.3401, 2.1260, 0.0000], [-1.9977, 0.0000, 8.3395]], "species": ["Er", "Er", "Er", "Er", "Er", "Er", "Ge", "Ge", "Sb", "Sb", "Sb", "Te"], "frac_coords": [[0.0088, 0.0088, 0.2604], [0.3286, 0.3286, 0.4258], [0.3292, 0.3292, 0.8996], [0.6708, 0.6708, 0.1004], [0.6714, 0.6714, 0.5742], [0.9912, 0.9912, 0.7396], [0.1674, 0.1674, 0.3334], [0.8326, 0.8326, 0.6666], [0.1615, 0.1615, 0.8333], [0.5000, 0.5000, 0.5000], [0.8385, 0.8385, 0.1667], [0.5000, 0.5000, 0.0000]], "energy_ev_per_atom": -5.37, "dos_at_fermi_per_ev_cell": 3.30, "space_group": "No. 12", "formation_energy_uncorrected_ev_per_atom": -1.02}

{"formula": "TlPtSe", "functional": "PBE", "state": "optimized geometry", "lattice_angstrom": [[6.4104, -1.9011, 0.0000], [6.4104, 1.9011, 0.0000], [-0.3307, 0.0000, 6.5926]], "species": ["Tl", "Tl", "Pt", "Pt", "Se", "Se"], "frac_coords": [[0.1515, 0.1515, 0.3530], [0.8485, 0.8485, 0.6470], [0.0000, 0.0000, 0.0000], [0.5000, 0.5000, 0.5000], [0.4077, 0.4077, 0.1646], [0.5923, 0.5923, 0.8354]], "energy_ev_per_atom": -4.31, "dos_at_fermi_per_ev_cell": 1.31, "space_group": "No. 12", "formation_energy_uncorrected_ev_per_atom": -0.35}

{"formula": "MnCrFe2", "functional": "PBE", "state": "optimized geometry", "lattice_angstrom": [[2.5005, 0.0000, 0.0000], [0.0000, 3.5228, 0.0000], [0.0000, 0.0000, 5.0366]], "species": ["Mn", "Cr", "Fe", "Fe"], "frac_coords": [[0.0000, 0.0000, 0.0000], [0.5000, 0.5000, 0.2650], [0.0000, 0.0000, 0.5085], [0.5000, 0.5000, 0.7613]], "energy_ev_per_atom": -8.82, "formation_energy_ev_per_fu": 0.44, "dos_at_fermi_per_ev_cell": 4.98, "space_group": "No. 25"}

{"formula": "SrTl2Os", "functional": "PBE", "state": "optimized geometry", "lattice_angstrom": [[5.2947, 0.0000, 0.0000], [0.0000, 4.3676, 0.0000], [-2.6012, 0.0000, 5.7869]], "species": ["Sr", "Tl", "Tl", "Os"], "frac_coords": [[0.0000, 0.0000, 0.0000], [0.3529, 0.5000, 0.7005], [0.6827, 0.0000, 0.3730], [0.8210, 0.5000, 0.6354]], "energy_ev_per_atom": -3.94, "formation_energy_ev_per_fu": 1.88, "dos_at_fermi_per_ev_cell": 1.97, "space_group": "No. 6"}

{"formula": "AcIn3Hg2", "functional": "PBE", "state": "optimized geometry", "lattice_angstrom": [[5.9732, 0.0000, 0.0000], [-2.9866, 5.1729, 0.0000], [0.0000, 0.0000, 5.5877]], "species": ["Ac", "In", "In", "In", "Hg", "Hg"], "frac_coords": [[0.0000, 0.0000, 0.0000], [0.0000, 0.5000, 0.5000], [0.5000, 0.0000, 0.5000], [0.5000, 0.5000, 0.5000], [0.3333, 0.6667, 0.0000], [0.6667, 0.3333, 0.0000]], "e_above_lowest_polymorph_mev_per_atom": 99, "energy_ev_per_atom": -2.33, "formation_energy_ev_per_fu": -1.07, "dos_at_fermi_per_ev_cell": 2.74, "space_group": "No. 191"}